a | Entry from Alexandria: ZrCuN2 after structural relaxation (PBE).

Cell lengths 6.2806, 6.2806, 6.2806 Å; angles 29.24, 29.24, 29.24 degrees
Element x y z (fractional)
1 Cu 0.5000 0.5000 0.5000
2 Zr 0.0000 0.0000 0.0000
3 N 0.8840 0.8840 0.8840
4 N 0.1160 0.1160 0.1160

---

b | Entry from Alexandria: ZrCuN2 after structural relaxation (PBE).

Cell lengths 6.0672, 6.0672, 6.0672 Å; angles 32.28, 32.28, 32.28 degrees
Element x y z (fractional)
1 Cu 0.0000 0.0000 0.0000
2 Zr 0.5000 0.5000 0.5000
3 N 0.8952 0.8952 0.8952
4 N 0.1048 0.1048 0.1048

---

The structure with the most favorable energy is b; the runner-up is 1.210 eV/atom above it.

---

a | Entry from Alexandria: Zr4CuN after structural relaxation (PBE).

Cell lengths 3.5874, 6.1329, 9.7338 Å; angles 90.00, 100.62, 90.00 degrees
Element x y z (fractional)
1 Zr 0.5000 0.0000 0.0000
2 Zr 0.5000 0.5000 0.0000
3 Zr 0.9127 0.2500 0.8253
4 Zr 0.0873 0.7500 0.1747
5 Zr 0.3118 0.0049 0.6236
6 Zr 0.6882 0.5049 0.3764
7 Zr 0.3118 0.4951 0.6236
8 Zr 0.6882 0.9951 0.3764
9 Cu 0.0891 0.2500 0.1783
10 Cu 0.9109 0.7500 0.8217
11 N 0.7890 0.2500 0.5781
12 N 0.2110 0.7500 0.4219

---

b | Entry from Alexandria: Zr4CuN after structural relaxation (PBE).

Cell lengths 5.2552, 6.8614, 7.2659 Å; angles 117.55, 90.00, 90.00 degrees
Element x y z (fractional)
1 Zr 0.2372 0.8068 0.1308
2 Zr 0.2628 0.3068 0.1308
3 Zr 0.7481 0.6412 0.2802
4 Zr 0.2481 0.8588 0.7198
5 Zr 0.7519 0.1412 0.2802
6 Zr 0.2519 0.3588 0.7198
7 Zr 0.7372 0.6932 0.8692
8 Zr 0.7628 0.1932 0.8692
9 Cu 0.0000 0.5000 0.5000
10 Cu 0.5000 0.0000 0.5000
11 N 0.5000 0.5000 0.0000
12 N 0.0000 0.0000 0.0000

---

The structure with the most favorable energy is b; the runner-up is 0.094 eV/atom above it.

---

a | Entry from Alexandria: Zr4Cu2N after structural relaxation (PBE).

Cell lengths 6.0964, 6.2816, 7.1031 Å; angles 90.00, 105.48, 90.00 degrees
Element x y z (fractional)
1 Zr 0.5171 0.5038 0.2634
2 Zr 0.1072 0.7500 0.9046
3 Zr 0.8928 0.2500 0.0954
4 Zr 0.5171 0.9962 0.2634
5 Zr 0.9371 0.2500 0.6114
6 Zr 0.4829 0.0038 0.7366
7 Zr 0.4829 0.4962 0.7366
8 Zr 0.0629 0.7500 0.3886
9 Cu 0.7246 0.7500 0.0309
10 Cu 0.2754 0.2500 0.9691
11 Cu 0.2550 0.2500 0.4118
12 Cu 0.7450 0.7500 0.5882
13 N 0.2687 0.7500 0.1974
14 N 0.7313 0.2500 0.8026

---

b | Entry from Alexandria: Zr4Cu2N after structural relaxation (PBE).

Cell lengths 4.4321, 4.4321, 7.1942 Å; angles 72.06, 72.06, 90.00 degrees
Element x y z (fractional)
1 Cu 0.3764 0.3764 0.2473
2 Cu 0.6236 0.6236 0.7527
3 Zr 0.1788 0.1788 0.6424
4 Zr 0.8212 0.8212 0.3576
5 Zr 0.0000 0.5000 0.0000
6 Zr 0.5000 0.0000 0.0000
7 N 0.0000 0.0000 0.0000

---

The structure with the most favorable energy is b; the runner-up is 0.108 eV/atom above it.